MnCdSi2 after structural relaxation, computed with GGA-PBE.

Lattice parameters (Å, degrees): 8.4728 8.4728 8.4728 20.36 20.36 20.36
Site moments in Bohr magnetons follow the coordinates.
Fractional coordinates of all 4 atoms:
Mn  0.7402  0.7402  0.7402  3.08
Si  0.2598  0.2598  0.2598  0.02
Si  0.0013  0.0013  0.0013  -0.03
Cd  0.4986  0.4986  0.4986  -0.02

- N(E_F) (states/eV per cell) = 2.55
- spin magnetization (μB per formula unit) = 3.1
- symmetry = No. 160
- energy relative to the elements, uncorrected (kcal/mol of atoms) = 6.987
- DFT total energy (eV per atom) = -4.93